A plane-wave DFT calculation with PBE was carried out for a relaxed structure of CaH2Se.

Its volume is 16.96 Å³ per atom. The calculation puts the density of states at the Fermi level at 0.00 states/eV per atom. As for the crystal system: orthorhombic. The total moment comes out at 0.00 μB/f.u. As for the total energy: -3.927 eV per atom.

a = 4.719 Å, b = 5.757 Å, c = 5.523 Å
α = 90.00°, β = 115.29°, γ = 90.00°
Sites, in units of the cell vectors:
Ca  0.837  0.750  0.174
Ca  0.163  0.250  0.826
H  0.454  0.684  0.408
H  0.546  0.316  0.592
H  0.454  0.816  0.408
H  0.546  0.184  0.592
Se  0.852  0.250  0.203
Se  0.148  0.750  0.797



A plane-wave DFT calculation with PBE was carried out for a relaxed structure of U6P2CSe3.

Its formation energy (no corrections) is -0.8246 eV per atom. Its volume is 21.54 Å³ per atom. The calculation puts the density of states at the Fermi level at 2.73 states/eV per atom. As for the crystal system: monoclinic. The total moment comes out at 4.02 μB/f.u. As for the total energy: -9.010 eV per atom.

a = 3.852 Å, b = 8.028 Å, c = 8.836 Å
α = 103.87°, β = 102.59°, γ = 90.00°
Sites, in units of the cell vectors:
U  0.349  0.918  0.698
U  0.671  0.572  0.342
U  0.651  0.082  0.302
U  0.000  0.208  0.000
U  0.000  0.792  0.000
U  0.329  0.428  0.658
P  0.836  0.672  0.671
P  0.164  0.328  0.329
C  0.500  0.000  0.000
Se  0.500  0.500  0.000
Se  0.827  0.166  0.653
Se  0.173  0.834  0.347



A plane-wave DFT calculation with PBE was carried out for a relaxed structure of Sc2V2InRu5.

Its volume is 16.54 Å³ per atom. As for the formation energy: -0.216 eV/atom. The calculation puts the density of states at the Fermi level at 0.42 states/eV per atom. As for the crystal system: tetragonal. The total moment comes out at 0.00 μB/f.u. As for the total energy: -8.218 eV per atom.

a = 3.299 Å, b = 10.013 Å, c = 10.013 Å
α = 90.00°, β = 90.00°, γ = 90.00°
Sites, in units of the cell vectors:
Sc  0.000  0.675  0.175
Sc  0.000  0.325  0.825
Sc  0.000  0.175  0.325
Sc  0.000  0.825  0.675
V  0.000  0.124  0.624
V  0.000  0.876  0.376
V  0.000  0.624  0.876
V  0.000  0.376  0.124
In  0.000  0.000  0.000
In  0.000  0.500  0.500
Ru  0.500  0.210  0.070
Ru  0.500  0.790  0.930
Ru  0.500  0.070  0.790
Ru  0.500  0.710  0.430
Ru  0.500  0.930  0.210
Ru  0.500  0.290  0.570
Ru  0.500  0.570  0.710
Ru  0.500  0.430  0.290
Ru  0.500  0.500  0.000
Ru  0.500  0.000  0.500



A plane-wave DFT calculation with PBE was carried out for a relaxed structure of La3Nd4Sc.

Its volume is 34.89 Å³ per atom. As for the formation energy: 0.194 eV/atom. The calculation puts the density of states at the Fermi level at 1.61 states/eV per atom. As for the crystal system: monoclinic. The total moment comes out at 0.00 μB/f.u. As for the total energy: -4.829 eV per atom.

a = 3.496 Å, b = 6.184 Å, c = 13.095 Å
α = 84.23°, β = 97.67°, γ = 90.00°
Sites, in units of the cell vectors:
La  0.000  0.500  0.000
La  0.145  0.269  0.290
La  0.855  0.731  0.710
Nd  0.898  0.213  0.795
Nd  0.102  0.787  0.205
Nd  0.720  0.760  0.440
Nd  0.280  0.240  0.560
Sc  0.500  0.000  0.000